Record 1
Density functional theory data (PBE) for an optimized crystal structure of Tb2CuS.

Lattice parameters (Å, degrees): 3.9925 3.9925 7.5778 90.00 90.00 120.00
Sites, in units of the cell vectors:
Tb  0.0000  0.0000  0.0000
Tb  0.3333  0.6667  0.4540
Cu  0.6667  0.3333  0.2113
S  0.0000  0.0000  0.6495

Crystal system: trigonal
Electronic total energy (eV per atom): -5.081
Calculated volume (Å³ per cell): 105

=====

Record 2
Density functional theory data (PBE) for an optimized crystal structure of TbCuTeS.

Lattice parameters (Å, degrees): 6.3162 7.4698 7.4054 90.00 93.23 90.00
Sites, in units of the cell vectors:
Tb  0.1411  0.0227  0.2728
Tb  0.1411  0.4773  0.7728
Tb  0.8589  0.5227  0.2272
Tb  0.8589  0.9773  0.7272
Cu  0.4262  0.6576  0.4643
Cu  0.4262  0.8424  0.9643
Cu  0.5738  0.1576  0.0357
Cu  0.5738  0.3424  0.5357
Te  0.3730  0.1077  0.7193
Te  0.3730  0.3923  0.2193
Te  0.6270  0.6077  0.7807
Te  0.6270  0.8923  0.2807
S  0.0781  0.7299  0.4995
S  0.0781  0.7701  0.9995
S  0.9219  0.2299  0.0005
S  0.9219  0.2701  0.5005

Crystal system: monoclinic
Electronic total energy (eV per atom): -5.073
Calculated volume (Å³ per cell): 349

=====

Record 3
Density functional theory data (PBE) for an optimized crystal structure of TbTlCu3S4.

Lattice parameters (Å, degrees): 5.8635 6.9692 9.8647 90.00 101.99 90.00
Sites, in units of the cell vectors:
Tb  0.0909  0.2500  0.2992
Tb  0.9091  0.7500  0.7008
Tl  0.2468  0.2500  0.9048
Tl  0.7532  0.7500  0.0952
Cu  0.2930  0.5599  0.5239
Cu  0.2930  0.9401  0.5239
Cu  0.4366  0.7500  0.7758
Cu  0.5634  0.2500  0.2242
Cu  0.7070  0.0599  0.4761
Cu  0.7070  0.4401  0.4761
S  0.0278  0.2500  0.5589
S  0.2185  0.7500  0.9328
S  0.4066  0.5181  0.2991
S  0.4066  0.9819  0.2991
S  0.5934  0.0181  0.7009
S  0.5934  0.4819  0.7009
S  0.7815  0.2500  0.0672
S  0.9722  0.7500  0.4411

Crystal system: monoclinic
Electronic total energy (eV per atom): -4.454
Calculated volume (Å³ per cell): 394